# 1
La2PrZn2Si4Ni2 | PBE | relaxed

Summary:
theoretical density = 6.1 g/cm3
energy above the most stable polymorph in this dataset = 0 meV/atom

```
La2PrZn2Si4Ni2
1.0
-2.0875 2.1175 12.0398
2.0875 -2.1175 12.0398
2.0875 2.1175 -12.0398
Si Zn La Ni Pr
4 2 2 2 1
Cartesian
0.0000 0.0000 13.2243
0.0000 2.1175 4.9132
0.0000 0.0000 10.8554
2.0875 0.0000 7.1266
2.0875 0.0000 9.6352
0.0000 2.1175 2.4046
0.0000 2.1175 8.3358
2.0875 0.0000 3.7040
0.0000 0.0000 18.0758
0.0000 0.0000 6.0038
0.0000 0.0000 0.0000
```

# 2
LaPr2Zn2Si4Ni2 | PBE | relaxed

Summary:
theoretical density = 6.1 g/cm3
energy above the most stable polymorph in this dataset = 36 meV/atom

```
LaPr2Zn2Si4Ni2
1.0
-2.0727 2.0874 12.1936
2.0727 -2.0874 12.1936
2.0727 2.0874 -12.1936
Ni Si La Zn Pr
2 4 1 2 2
Cartesian
0.0000 2.0874 2.2814
2.0727 0.0000 9.9122
2.0727 0.0000 7.6253
0.0000 2.0874 4.5683
0.0000 0.0000 13.4232
0.0000 0.0000 10.9640
0.0000 0.0000 0.0000
0.0000 0.0000 6.0925
0.0000 0.0000 18.2947
0.0000 2.0874 8.6709
2.0727 0.0000 3.5227
```

# 3
La2PrZn2Si4Ni2 | PBE | relaxed

Summary:
theoretical density = 6.1 g/cm3
energy above the most stable polymorph in this dataset = 21 meV/atom

```
La2PrZn2Si4Ni2
1.0
-2.0695 2.0951 12.2689
2.0695 -2.0951 12.2689
2.0695 2.0951 -12.2689
Ni Si La Zn Pr
2 4 2 2 1
Cartesian
2.0695 0.0000 9.9626
0.0000 2.0951 2.3063
0.0000 2.0951 4.6165
0.0000 0.0000 11.0504
0.0000 0.0000 13.4875
2.0695 0.0000 7.6524
0.0000 2.0951 8.7276
2.0695 0.0000 3.5414
0.0000 0.0000 18.4082
0.0000 0.0000 6.1297
0.0000 0.0000 0.0000
```

# 4
LaPr2Ni2Sn7 | PBE | relaxed

Summary:
theoretical density = 7.6 g/cm3
energy = -5.084 eV per atom

```
LaPr2Ni2Sn7
1.0
2.3230 -13.8508 0.0000
2.3230 13.8508 0.0000
0.0000 0.0000 4.6210
Ni Sn La Pr
2 7 1 2
Cartesian
2.3230 10.2916 0.0000
2.3230 -10.2916 0.0000
2.3230 -2.5023 0.0000
2.3230 -11.3608 2.3105
2.3230 11.3608 2.3105
2.3230 -7.7963 0.0000
2.3230 0.0000 2.3105
2.3230 2.5023 0.0000
2.3230 7.7963 0.0000
0.0000 0.0000 0.0000
2.3230 5.1274 2.3105
2.3230 -5.1274 2.3105
```